# HfThMo4

An optimized crystal structure of HfThMo4 (PBE, Alexandria via LeMat-Bulk).

Results
- Electronic total energy: -241.81 eV for the cell shown
- Formation energy from the elements: 0.041 eV/atom

Cell lengths 7.7797, 7.7797, 7.7797 Å; angles 90.00, 90.00, 90.00 degrees
Space group F-43m (No. 216)
Inequivalent atoms, fractional coordinates:
Hf1 0.0000 0.0000 0.0000 [4 per cell]
Th1 0.2500 0.2500 0.2500 [4 per cell]
Mo1 0.1252 0.1252 0.6252 [16 per cell]

=====

# KCaW

An optimized crystal structure of KCaW (PBE, Alexandria via LeMat-Bulk).

Results
- Energy above the most stable polymorph in this dataset: 71 meV/atom
- Electronic total energy: -12.33 eV for the cell shown
- Formation energy from the elements: 1.239 eV/atom

Cell lengths 3.1322, 3.1322, 9.3761 Å; angles 90.00, 90.00, 120.00 degrees
Space group P3m1 (No. 156)
Inequivalent atoms, fractional coordinates:
K1 0.0000 0.0000 0.0000 [1 per cell]
Ca1 0.3333 0.6667 0.5898 [1 per cell]
W1 0.6667 0.3333 0.3219 [1 per cell]

=====

# CaCrTe

An optimized crystal structure of CaCrTe (PBE, Alexandria via LeMat-Bulk).

Results
- Energy above the most stable polymorph in this dataset: 231 meV/atom
- Formation energy from raw total energies: -0.06 eV per atom
- Electronic total energy: -59.80 eV for the cell shown

Cell lengths 6.8068, 6.8068, 6.8068 Å; angles 90.00, 90.00, 90.00 degrees
Space group F-43m (No. 216)
Inequivalent atoms, fractional coordinates:
Ca1 0.0000 0.0000 0.0000 [4 per cell]
Cr1 0.2500 0.2500 0.2500 [4 per cell]
Te1 0.0000 0.0000 0.5000 [4 per cell]

=====

# AlRe2Rh

An optimized crystal structure of AlRe2Rh (PBE, Alexandria via LeMat-Bulk).

Results
- Electronic total energy: -72.41 eV for the cell shown
- Formation energy from the elements: -0.053 eV/atom

Cell lengths 5.1385, 8.2881, 2.7488 Å; angles 90.00, 90.00, 90.00 degrees
Space group Cmmm (No. 65)
Inequivalent atoms, fractional coordinates:
Al1 0.0000 0.0000 0.0000 [2 per cell]
Re1 0.2500 0.2500 0.5000 [4 per cell]
Rh1 0.0000 0.5000 0.0000 [2 per cell]

=====

# NaNbZn

An optimized crystal structure of NaNbZn (PBE, Alexandria via LeMat-Bulk).

Results
- Energy above the most stable polymorph in this dataset: 78 meV/atom
- Electronic total energy: -24.26 eV for the cell shown
- Formation energy from the elements: 0.178 eV/atom

Cell lengths 2.8611, 2.8669, 15.2505 Å; angles 87.72, 87.96, 74.55 degrees
Space group P1 (No. 1)
Inequivalent atoms, fractional coordinates:
Na1 0.0000 0.0000 0.0000 [1 per cell]
Na2 0.4947 0.5154 0.2134 [1 per cell]
Nb1 0.0487 0.0608 0.6602 [1 per cell]
Nb2 0.5286 0.5338 0.8070 [1 per cell]
Zn1 0.5690 0.5861 0.5171 [1 per cell]
Zn2 0.9659 0.9859 0.3793 [1 per cell]

=====

# Tl2CdP

An optimized crystal structure of Tl2CdP (PBE, Alexandria via LeMat-Bulk).

Results
- Energy above the most stable polymorph in this dataset: 167 meV/atom
- Electronic total energy: -10.07 eV for the cell shown
- Formation energy from the elements: 0.247 eV/atom

Cell lengths 3.2861, 3.7912, 8.4590 Å; angles 90.00, 90.00, 90.00 degrees
Space group Pmmm (No. 47)
Inequivalent atoms, fractional coordinates:
Tl1 0.0000 0.0000 0.2117 [2 per cell]
Cd1 0.5000 0.5000 0.5000 [1 per cell]
P1 0.5000 0.5000 0.0000 [1 per cell]

=====

# TbHo2ScTe4

An optimized crystal structure of TbHo2ScTe4 (PBE, Alexandria via LeMat-Bulk).

Results
- Formation energy from raw total energies: -1.22 eV per atom
- Electronic total energy: -42.42 eV for the cell shown

Cell lengths 7.4675, 4.2698, 7.5041 Å; angles 90.00, 108.99, 90.00 degrees
Space group P2/m (No. 10)
Inequivalent atoms, fractional coordinates:
Tb1 0.0000 0.0000 0.0000 [1 per cell]
Ho1 0.5000 0.0000 0.5000 [1 per cell]
Ho2 0.5000 0.5000 0.0000 [1 per cell]
Sc1 0.0000 0.5000 0.5000 [1 per cell]
Te1 0.2427 0.0000 0.7406 [2 per cell]
Te2 0.2479 0.5000 0.2563 [2 per cell]

=====

# AgHg4Bi2

An optimized crystal structure of AgHg4Bi2 (PBE, Alexandria via LeMat-Bulk).

Results
- Electronic total energy: -20.01 eV for the cell shown
- Formation energy from the elements: 0.259 eV/atom

Cell lengths 5.5481, 5.5481, 14.8716 Å; angles 90.00, 90.00, 90.00 degrees
Space group I4/mmm (No. 139)
Inequivalent atoms, fractional coordinates:
Ag1 0.0000 0.0000 0.0000 [2 per cell]
Hg1 0.0000 0.0000 0.1884 [4 per cell]
Hg2 0.0000 0.5000 0.0000 [4 per cell]
Bi1 0.0000 0.0000 0.3896 [4 per cell]

=====

# Tl3Cd

An optimized crystal structure of Tl3Cd (PBE, Alexandria via LeMat-Bulk).

Results
- Electronic total energy: -6.27 eV for the cell shown
- Formation energy from the elements: 0.437 eV/atom

Cell lengths 5.7644, 5.7644, 5.7644 Å; angles 90.00, 90.00, 90.00 degrees
Space group Pm-3m (No. 221)
Inequivalent atoms, fractional coordinates:
Tl1 0.0000 0.0000 0.5000 [3 per cell]
Cd1 0.0000 0.0000 0.0000 [1 per cell]

=====

# Ta2ReMo

An optimized crystal structure of Ta2ReMo (PBE, Alexandria via LeMat-Bulk).

Results
- Energy above the most stable polymorph in this dataset: 161 meV/atom
- Electronic total energy: -190.93 eV for the cell shown
- Formation energy from the elements: -0.187 eV/atom

Cell lengths 6.4221, 6.4221, 6.4221 Å; angles 90.00, 90.00, 90.00 degrees
Space group F-43m (No. 216)
Inequivalent atoms, fractional coordinates:
Ta1 0.0000 0.0000 0.0000 [4 per cell]
Ta2 0.2500 0.2500 0.2500 [4 per cell]
Re1 0.0000 0.0000 0.5000 [4 per cell]
Mo1 0.2500 0.2500 0.7500 [4 per cell]

=====

# Er6ZnTe5

An optimized crystal structure of Er6ZnTe5 (PBE, Alexandria via LeMat-Bulk).

Results
- Formation energy from raw total energies: -1.12 eV per atom
- Electronic total energy: -115.60 eV for the cell shown

Cell lengths 7.4843, 12.9249, 7.4386 Å; angles 90.00, 109.43, 90.00 degrees
Space group C2/m (No. 12)
Inequivalent atoms, fractional coordinates:
Er1 0.2231 0.0000 0.2605 [4 per cell]
Er2 0.2280 0.1529 0.7295 [8 per cell]
Zn1 0.0000 0.0000 0.5000 [2 per cell]
Te1 0.0000 0.1787 0.0000 [4 per cell]
Te2 0.0000 0.3363 0.5000 [4 per cell]
Te3 0.0000 0.5000 0.0000 [2 per cell]

=====

# MnTlInIr2

An optimized crystal structure of MnTlInIr2 (PBE, Alexandria via LeMat-Bulk).

Results
- Electronic total energy: -19.98 eV for the cell shown
- Formation energy from the elements: 2.404 eV/atom

Cell lengths 4.9976, 4.9976, 5.2120 Å; angles 90.00, 90.00, 90.00 degrees
Space group P4/mmm (No. 123)
Inequivalent atoms, fractional coordinates:
Mn1 0.0000 0.0000 0.0000 [1 per cell]
Tl1 0.5000 0.5000 0.5000 [1 per cell]
In1 0.5000 0.5000 0.0000 [1 per cell]
Ir1 0.0000 0.5000 0.5000 [2 per cell]

=====

# Tl2In5Ga4

An optimized crystal structure of Tl2In5Ga4 (PBE, Alexandria via LeMat-Bulk).

Results
- Energy above the most stable polymorph in this dataset: 0 meV/atom
- Electronic total energy: -29.91 eV for the cell shown
- Formation energy from the elements: 0.057 eV/atom

Cell lengths 6.9008, 6.9530, 7.1285 Å; angles 100.03, 101.10, 118.61 degrees
Space group P-1 (No. 2)
Inequivalent atoms, fractional coordinates:
Tl1 0.2344 0.1012 0.1992 [2 per cell]
In1 0.1130 0.2778 0.5877 [2 per cell]
In2 0.3236 0.6610 0.3812 [2 per cell]
In3 0.5000 0.5000 0.0000 [1 per cell]
Ga1 0.1646 0.6518 0.9313 [2 per cell]
Ga2 0.3351 0.9924 0.7645 [2 per cell]

=====

# Cs3P7

An optimized crystal structure of Cs3P7 (PBE, Alexandria via LeMat-Bulk).

Results
- Electronic total energy: -179.80 eV for the cell shown
- Formation energy from the elements: -0.452 eV/atom

Cell lengths 9.2795, 9.2795, 16.9062 Å; angles 90.00, 90.00, 90.00 degrees
Space group P4_1 (No. 76)
Inequivalent atoms, fractional coordinates:
Cs1 0.0168 0.8270 0.9998 [4 per cell]
Cs2 0.2559 0.6251 0.5000 [4 per cell]
Cs3 0.2641 0.4138 0.0873 [4 per cell]
P1 0.0051 0.2967 0.8378 [4 per cell]
P2 0.0052 0.6502 0.2047 [4 per cell]
P3 0.0219 0.6472 0.8080 [4 per cell]
P4 0.0908 0.5590 0.6938 [4 per cell]
P5 0.1037 0.4825 0.8900 [4 per cell]
P6 0.2061 0.6195 0.2818 [4 per cell]
P7 0.2111 0.3952 0.3105 [4 per cell]

=====

# La2CF2

An optimized crystal structure of La2CF2 (PBE, Alexandria via LeMat-Bulk).

Results
- Energy above the most stable polymorph in this dataset: 0 meV/atom
- Formation energy from raw total energies: -2.22 eV per atom
- Electronic total energy: -135.71 eV for the cell shown

Cell lengths 10.7805, 6.3556, 5.3795 Å; angles 90.00, 90.00, 90.00 degrees
Space group Pbcm (No. 57)
Inequivalent atoms, fractional coordinates:
La1 0.1068 0.0442 0.2500 [4 per cell]
La2 0.3546 0.5177 0.2500 [4 per cell]
C1 0.1398 0.0584 0.7500 [4 per cell]
F1 0.3251 0.5954 0.7500 [4 per cell]
F2 0.4644 0.2500 0.0000 [4 per cell]

=====

# Ca2CoAg

An optimized crystal structure of Ca2CoAg (PBE, Alexandria via LeMat-Bulk).

Results
- Energy above the most stable polymorph in this dataset: 70 meV/atom
- Electronic total energy: -40.34 eV for the cell shown
- Formation energy from the elements: 0.129 eV/atom

Cell lengths 4.3308, 4.3308, 20.9059 Å; angles 90.00, 90.00, 120.00 degrees
Space group R3m (No. 160, hexagonal axes)
Inequivalent atoms, fractional coordinates:
Ca1 0.0000 0.0000 0.0000 [3 per cell]
Ca2 0.0000 0.0000 0.1764 [3 per cell]
Co1 0.0000 0.0000 0.4207 [3 per cell]
Ag1 0.0000 0.0000 0.7553 [3 per cell]

=====

# Ac2PuP3Rh12

An optimized crystal structure of Ac2PuP3Rh12 (PBE, Alexandria via LeMat-Bulk).

Results
- Electronic total energy: -398.05 eV for the cell shown
- Formation energy from the elements: -0.316 eV/atom

Cell lengths 8.2122, 8.2122, 17.8751 Å; angles 90.00, 90.00, 120.00 degrees
Space group R-3m (No. 166, hexagonal axes)
Inequivalent atoms, fractional coordinates:
Ac1 0.0000 0.0000 0.1047 [6 per cell]
Pu1 0.0000 0.0000 0.5000 [3 per cell]
P1 0.0000 0.5000 0.0000 [9 per cell]
Rh1 0.0048 0.5024 0.8738 [18 per cell]
Rh2 0.0511 0.5256 0.3595 [18 per cell]

=====

# Li4GePb3

An optimized crystal structure of Li4GePb3 (PBE, Alexandria via LeMat-Bulk).

Results
- Electronic total energy: -25.27 eV for the cell shown
- Formation energy from the elements: -0.234 eV/atom

Cell lengths 3.4687, 3.4687, 13.9840 Å; angles 90.00, 90.00, 90.00 degrees
Space group P4/mmm (No. 123)
Inequivalent atoms, fractional coordinates:
Li1 0.0000 0.0000 0.0988 [2 per cell]
Li2 0.0000 0.0000 0.3668 [2 per cell]
Ge1 0.5000 0.5000 0.0000 [1 per cell]
Pb1 0.5000 0.5000 0.2321 [2 per cell]
Pb2 0.5000 0.5000 0.5000 [1 per cell]

=====

# MgIrO2

An optimized crystal structure of MgIrO2 (PBE, Alexandria via LeMat-Bulk).

Results
- Energy above the most stable polymorph in this dataset: 567 meV/atom
- Formation energy from raw total energies: -0.86 eV per atom
- Electronic total energy: -95.21 eV for the cell shown

Cell lengths 4.7705, 4.7705, 8.9681 Å; angles 90.00, 90.00, 90.00 degrees
Space group I-42d (No. 122)
Inequivalent atoms, fractional coordinates:
Mg1 0.0000 0.0000 0.0000 [4 per cell]
Ir1 0.0000 0.0000 0.5000 [4 per cell]
O1 0.2230 0.2500 0.1250 [8 per cell]

=====

# YZnCdAu2

An optimized crystal structure of YZnCdAu2 (PBE, Alexandria via LeMat-Bulk).

Results
- Electronic total energy: -69.61 eV for the cell shown
- Formation energy from the elements: -0.439 eV/atom

Cell lengths 5.5563, 14.1160, 5.5246 Å; angles 90.00, 90.00, 90.00 degrees
Space group Cmme (No. 67)
Inequivalent atoms, fractional coordinates:
Y1 0.0000 0.2500 0.2491 [4 per cell]
Zn1 0.0000 0.0000 0.5000 [4 per cell]
Cd1 0.2500 0.0000 0.0000 [4 per cell]
Au1 0.0000 0.1524 0.7463 [8 per cell]

=====

# Pm6Co2SeBr3

An optimized crystal structure of Pm6Co2SeBr3 (PBE, Alexandria via LeMat-Bulk).

Results
- Formation energy from raw total energies: -0.98 eV per atom
- Electronic total energy: -126.01 eV for the cell shown

Cell lengths 18.8975, 4.0519, 9.0652 Å; angles 90.00, 108.31, 90.00 degrees
Space group C2/m (No. 12)
Inequivalent atoms, fractional coordinates:
Pm1 0.0249 0.0000 0.2475 [4 per cell]
Pm2 0.1673 0.5000 0.1347 [4 per cell]
Pm3 0.1815 0.5000 0.5557 [4 per cell]
Co1 0.1687 0.0000 0.3363 [4 per cell]
Se1 0.0000 0.5000 0.0000 [2 per cell]
Br1 0.0000 0.5000 0.5000 [2 per cell]
Br2 0.1583 0.0000 0.8374 [4 per cell]

=====

# Th2Al4AgAu3

An optimized crystal structure of Th2Al4AgAu3 (PBE, Alexandria via LeMat-Bulk).

Results
- Electronic total energy: -48.67 eV for the cell shown
- Formation energy from the elements: -0.618 eV/atom

Cell lengths 4.4050, 4.4050, 10.5520 Å; angles 90.00, 90.00, 90.00 degrees
Space group P-4m2 (No. 115)
Inequivalent atoms, fractional coordinates:
Th1 0.0000 0.5000 0.2497 [2 per cell]
Al1 0.0000 0.0000 0.0000 [1 per cell]
Al2 0.0000 0.5000 0.6339 [2 per cell]
Al3 0.5000 0.5000 0.0000 [1 per cell]
Ag1 0.0000 0.0000 0.5000 [1 per cell]
Au1 0.0000 0.5000 0.8715 [2 per cell]
Au2 0.5000 0.5000 0.5000 [1 per cell]